(1)
Below is a relaxed CdHg3P crystal, with properties calculated at the PBE-GGA level.

## Properties
formation energy from the elements: 0.264 eV per atom
excess energy over the best structure of this formula in the dataset: 0 meV per atom
M_tot: 0.0 μB/f.u.

```
5
Lattice="5.208 0.000 0.000 0.000 5.208 0.000 0.000 0.000 5.208" Properties=species:S:1:pos:R:3 pbc="T T T"
Hg 0.000 2.604 0.000
Cd 2.604 2.604 2.604
Hg 2.604 0.000 0.000
P 0.000 0.000 0.000
Hg 0.000 0.000 2.604
```

=====

(2)
Below is a relaxed Sm4Pu3S8 crystal, with properties calculated at the PBE-GGA level.

## Properties
M_tot: 16.9 μB/f.u.
energy relative to the elements, uncorrected: -29.038 eV/f.u.

```
15
Lattice="7.977 -0.108 -0.156 -3.885 6.950 0.125 -3.885 -2.296 6.561" Properties=species:S:1:pos:R:3 pbc="T T T"
S 0.104 -0.019 4.861
Sm 0.000 0.000 0.000
Sm -1.942 3.475 0.062
S -3.885 0.017 4.951
Sm -1.942 -1.148 3.281
Sm 3.988 -0.054 -0.078
Pu 2.046 3.421 -0.015
S -1.944 1.167 1.677
S 2.151 3.379 4.854
Pu 2.046 -1.202 3.203
S 0.104 4.565 1.670
S -1.821 3.429 4.926
Pu 0.104 2.273 3.265
S -3.885 4.637 1.735
S 2.028 1.117 1.604
```

=====

(3)
Below is a relaxed LiZnRh2 crystal, with properties calculated at the PBE-GGA level.

## Properties
formation energy from the elements: -0.153 eV per atom
M_tot: 0.5 μB/f.u.

```
4
Lattice="-0.988 2.471 1.208 -2.627 -1.228 0.364 1.743 -2.057 5.633" Properties=species:S:1:pos:R:3 pbc="T T T"
Rh -1.359 0.093 2.233
Zn 0.897 -1.059 2.900
Rh 1.712 -2.020 5.532
Li -0.506 -0.913 4.990
```

=====

(4)
Below is a relaxed Hf3TcMo crystal, with properties calculated at the PBE-GGA level.

## Properties
formation energy from the elements: 0.908 eV per atom
excess energy over the best structure of this formula in the dataset: 0 meV per atom
M_tot: 1.4 μB/f.u.

```
5
Lattice="-1.717 -2.694 -3.716 -2.359 -2.886 3.182 -3.937 2.903 -0.286" Properties=species:S:1:pos:R:3 pbc="T T T"
Hf -1.969 1.452 -0.143
Hf -0.858 -1.347 -1.858
Tc 0.000 0.000 0.000
Mo -4.006 -1.338 -0.410
Hf -1.179 -1.443 1.591
```

=====

Calculated ρ (kg/m3), listed in the same order as above: 8759 7380 8661 10293